# 1
An optimized crystal structure of Sm3Dy6Ho. Source: Alexandria, functional GGA-PBE.

a = 10.948 Å, b = 10.948 Å, c = 6.277 Å
α = 90.00°, β = 90.00°, γ = 119.84°
Fractional positions:
Sm1 0.111 0.889 0.500
Sm2 0.216 0.440 0.891
Sm3 0.440 0.216 0.391
Sm4 0.560 0.784 0.891
Sm5 0.784 0.560 0.391
Sm6 0.889 0.111 0.000
Dy1 0.033 0.453 0.297
Dy2 0.120 0.212 0.474
Dy3 0.212 0.120 0.974
Dy4 0.223 0.777 0.076
Dy5 0.453 0.033 0.797
Dy6 0.457 0.543 0.325
Dy7 0.543 0.457 0.825
Dy8 0.547 0.967 0.297
Dy9 0.777 0.223 0.576
Dy10 0.788 0.880 0.474
Dy11 0.880 0.788 0.974
Dy12 0.967 0.547 0.797
Ho1 0.299 0.701 0.564
Ho2 0.701 0.299 0.064

Calculated values
total DFT energy (no corrections) = -4.49 eV/atom

---

# 2
An optimized crystal structure of SmDy6Ho3. Source: Alexandria, functional GGA-PBE.

a = 11.504 Å, b = 11.504 Å, c = 6.361 Å
α = 90.00°, β = 90.00°, γ = 130.68°
Fractional positions:
Sm1 0.161 0.839 0.500
Sm2 0.839 0.161 0.000
Dy1 0.015 0.985 0.697
Dy2 0.105 0.543 0.181
Dy3 0.260 0.379 0.939
Dy4 0.302 0.698 0.720
Dy5 0.379 0.260 0.439
Dy6 0.457 0.895 0.181
Dy7 0.543 0.105 0.681
Dy8 0.621 0.740 0.939
Dy9 0.698 0.302 0.220
Dy10 0.740 0.621 0.439
Dy11 0.895 0.457 0.681
Dy12 0.985 0.015 0.197
Ho1 0.043 0.296 0.524
Ho2 0.296 0.043 0.024
Ho3 0.419 0.581 0.414
Ho4 0.581 0.419 0.914
Ho5 0.704 0.957 0.524
Ho6 0.957 0.704 0.024

Calculated values
total DFT energy (no corrections) = -4.48 eV/atom

---

# 3
An optimized crystal structure of Sm2Dy6Ho. Source: Alexandria, functional GGA-PBE.

a = 9.578 Å, b = 9.578 Å, c = 6.569 Å
α = 99.49°, β = 99.49°, γ = 96.20°
Fractional positions:
Sm1 0.119 0.168 0.371
Sm2 0.168 0.119 0.871
Sm3 0.832 0.881 0.129
Sm4 0.881 0.832 0.629
Dy1 0.038 0.441 0.728
Dy2 0.151 0.777 0.996
Dy3 0.223 0.849 0.504
Dy4 0.278 0.458 0.184
Dy5 0.441 0.038 0.228
Dy6 0.458 0.278 0.684
Dy7 0.542 0.722 0.316
Dy8 0.559 0.962 0.772
Dy9 0.722 0.542 0.816
Dy10 0.777 0.151 0.496
Dy11 0.849 0.223 0.004
Dy12 0.962 0.559 0.272
Ho1 0.382 0.618 0.750
Ho2 0.618 0.382 0.250

Calculated values
total DFT energy (no corrections) = -4.51 eV/atom

---

# 4
An optimized crystal structure of SmDy3Ho4. Source: Alexandria, functional GGA-PBE.

a = 11.238 Å, b = 7.253 Å, c = 6.269 Å
α = 90.00°, β = 90.00°, γ = 90.00°
Fractional positions:
Sm1 0.000 0.126 0.000
Sm2 0.500 0.874 0.500
Dy1 0.000 0.874 0.499
Dy2 0.250 0.126 0.333
Dy3 0.250 0.874 0.833
Dy4 0.500 0.126 0.999
Dy5 0.750 0.126 0.333
Dy6 0.750 0.874 0.833
Ho1 0.000 0.376 0.500
Ho2 0.000 0.624 0.999
Ho3 0.249 0.624 0.333
Ho4 0.251 0.376 0.833
Ho5 0.500 0.376 0.499
Ho6 0.500 0.624 0.000
Ho7 0.749 0.376 0.833
Ho8 0.751 0.624 0.333

Calculated values
total DFT energy (no corrections) = -4.60 eV/atom

---

# 5
An optimized crystal structure of Sm6Dy2Ho. Source: Alexandria, functional GGA-PBE.

a = 7.602 Å, b = 7.602 Å, c = 6.079 Å
α = 90.01°, β = 90.01°, γ = 60.00°
Fractional positions:
Sm1 0.122 0.688 0.788
Sm2 0.312 0.312 0.212
Sm3 0.312 0.878 0.212
Sm4 0.688 0.122 0.788
Sm5 0.688 0.688 0.788
Sm6 0.878 0.312 0.212
Dy1 0.166 0.166 0.716
Dy2 0.834 0.834 0.284
Ho1 0.500 0.500 0.500

Calculated values
total DFT energy (no corrections) = -4.46 eV/atom

---

# 6
An optimized crystal structure of Sm3DyHo6. Source: Alexandria, functional GGA-PBE.

a = 10.937 Å, b = 10.937 Å, c = 6.240 Å
α = 90.00°, β = 90.00°, γ = 119.70°
Fractional positions:
Sm1 0.110 0.890 0.500
Sm2 0.217 0.439 0.108
Sm3 0.439 0.217 0.608
Sm4 0.561 0.783 0.108
Sm5 0.783 0.561 0.608
Sm6 0.890 0.110 0.000
Dy1 0.297 0.703 0.430
Dy2 0.703 0.297 0.930
Ho1 0.035 0.456 0.701
Ho2 0.118 0.212 0.528
Ho3 0.212 0.118 0.028
Ho4 0.221 0.779 0.925
Ho5 0.456 0.035 0.201
Ho6 0.456 0.544 0.667
Ho7 0.544 0.456 0.167
Ho8 0.544 0.965 0.701
Ho9 0.779 0.221 0.425
Ho10 0.788 0.882 0.528
Ho11 0.882 0.788 0.028
Ho12 0.965 0.544 0.201

Calculated values
total DFT energy (no corrections) = -4.47 eV/atom

---

| no. | formation energy from the elements (meV per atom) |
| --- | --- |
| 1 | 149 |
| 2 | 124 |
| 3 | 112 |
| 4 | 8 |
| 5 | 219 |
| 6 | 150 |